Entry from the Alexandria database: Tm2ScFe9 after structural relaxation (PBE).

## Properties
ρ: 8.52 g/cm³
N(E_F): 12.6 states/eV/f.u.
Energy: -92.708 eV/f.u.
Symmetry: R-3m

a b c (Å): 4.991 4.991 8.501
angles (deg): 72.93 72.93 60.00
Fractional positions:
Tm 0.859 0.859 0.423
Tm 0.141 0.141 0.577
Sc 0.000 0.000 0.000
Fe 0.667 0.667 0.999
Fe 0.333 0.333 0.001
Fe 0.500 0.500 0.500
Fe 0.418 0.418 0.244
Fe 0.920 0.418 0.244
Fe 0.418 0.920 0.244
Fe 0.582 0.582 0.756
Fe 0.582 0.080 0.756
Fe 0.080 0.582 0.756

Entry from the Alexandria database: Tm2ScFe after structural relaxation (PBE).

## Properties
ρ: 7.48 g/cm³
N(E_F): 5.3 states/eV/f.u.
Energy: -21.579 eV/f.u.
Symmetry: R-3m

a b c (Å): 3.248 3.248 10.830
angles (deg): 81.38 81.38 60.00
Fractional positions:
Sc 0.500 0.500 0.500
Tm 0.082 0.082 0.755
Tm 0.918 0.918 0.245
Fe 0.000 0.000 0.000

Entry from the Alexandria database: Tm2ScFe after structural relaxation (PBE).

## Properties
ρ: 7.99 g/cm³
N(E_F): 4.9 states/eV/f.u.
Energy: -23.482 eV/f.u.
Symmetry: P4/mmm

a b c (Å): 3.312 3.312 8.316
angles (deg): 90.00 90.00 90.00
Fractional positions:
Sc 0.500 0.500 0.500
Tm 0.000 0.000 0.810
Tm 0.000 0.000 0.190
Fe 0.500 0.500 0.000

Entry from the Alexandria database: Tm2ScFe after structural relaxation (PBE).

## Properties
ρ: 7.98 g/cm³
N(E_F): 3.3 states/eV/f.u.
Energy: -24.019 eV/f.u.
Symmetry: Pnma

a b c (Å): 6.045 6.850 8.813
angles (deg): 90.00 90.00 90.00
Fractional positions:
Tm 0.173 0.677 0.064
Tm 0.327 0.177 0.436
Tm 0.827 0.323 0.564
Tm 0.673 0.823 0.936
Tm 0.827 0.323 0.936
Tm 0.673 0.823 0.564
Tm 0.173 0.677 0.436
Tm 0.327 0.177 0.064
Sc 0.638 0.549 0.250
Sc 0.862 0.049 0.250
Sc 0.362 0.451 0.750
Sc 0.138 0.951 0.750
Fe 0.016 0.384 0.250
Fe 0.484 0.884 0.250
Fe 0.984 0.616 0.750
Fe 0.516 0.116 0.750

Entry from the Alexandria database: TmScFe4 after structural relaxation (PBE).

## Properties
ρ: 8.24 g/cm³
N(E_F): 5.8 states/eV/f.u.
Energy: -45.862 eV/f.u.
Symmetry: F-43m

a b c (Å): 4.995 4.995 4.995
angles (deg): 60.00 60.00 60.00
Fractional positions:
Sc 0.000 0.000 0.000
Tm 0.250 0.250 0.250
Fe 0.625 0.625 0.124
Fe 0.625 0.124 0.625
Fe 0.625 0.625 0.625
Fe 0.124 0.625 0.625

Entry from the Alexandria database: TmScFe10 after structural relaxation (PBE).

## Properties
ρ: 7.84 g/cm³
N(E_F): 9.6 states/eV/f.u.
Energy: -96.223 eV/f.u.
Symmetry: Pmmm

a b c (Å): 3.948 4.898 8.459
angles (deg): 90.00 90.00 90.00
Fractional positions:
Tm 0.000 0.000 0.000
Sc 0.000 0.500 0.500
Fe 0.000 0.000 0.337
Fe 0.000 0.500 0.829
Fe 0.000 0.500 0.171
Fe 0.000 0.000 0.663
Fe 0.500 0.000 0.500
Fe 0.500 0.500 0.000
Fe 0.500 0.251 0.253
Fe 0.500 0.749 0.747
Fe 0.500 0.749 0.253
Fe 0.500 0.251 0.747

Entry from the Alexandria database: ScUFe4 after structural relaxation (PBE).

## Properties
ρ: 9.68 g/cm³
N(E_F): 12.2 states/eV/f.u.
Energy: -52.061 eV/f.u.
Symmetry: F-43m

a b c (Å): 4.971 4.971 4.971
angles (deg): 60.00 60.00 60.00
Fractional positions:
Sc 0.000 0.000 0.000
U 0.250 0.250 0.250
Fe 0.625 0.625 0.124
Fe 0.625 0.124 0.625
Fe 0.625 0.625 0.625
Fe 0.124 0.625 0.625

Entry from the Alexandria database: ScUFe4 after structural relaxation (PBE).

## Properties
ρ: 9.46 g/cm³
N(E_F): 5.4 states/eV/f.u.
Energy: -50.941 eV/f.u.
Symmetry: C2/m

a b c (Å): 4.843 5.960 7.140
angles (deg): 114.67 106.60 90.00
Fractional positions:
Sc 0.877 0.803 0.605
Sc 0.123 0.197 0.395
U 0.219 0.430 0.860
U 0.781 0.570 0.140
Fe 0.322 0.692 0.384
Fe 0.449 0.083 0.778
Fe 0.000 0.198 0.000
Fe 0.551 0.305 0.222
Fe 0.678 0.308 0.616
Fe 0.551 0.917 0.222
Fe 0.000 0.802 0.000
Fe 0.449 0.695 0.778

Entry from the Alexandria database: ScU2Fe9 after structural relaxation (PBE).

## Properties
ρ: 10.29 g/cm³
N(E_F): 17.0 states/eV/f.u.
Energy: -106.175 eV/f.u.
Symmetry: R-3m

a b c (Å): 4.801 4.801 8.730
angles (deg): 74.05 74.05 59.98
Fractional positions:
Sc 0.000 0.000 0.000
U 0.853 0.853 0.439
U 0.147 0.147 0.561
Fe 0.667 0.667 0.000
Fe 0.333 0.333 0.000
Fe 0.500 0.500 0.500
Fe 0.419 0.419 0.243
Fe 0.919 0.419 0.243
Fe 0.419 0.919 0.243
Fe 0.581 0.581 0.757
Fe 0.581 0.081 0.757
Fe 0.081 0.581 0.757

Entry from the Alexandria database: ScV2Fe after structural relaxation (PBE).

## Properties
ρ: 5.39 g/cm³
N(E_F): 5.1 states/eV/f.u.
Energy: -31.702 eV/f.u.
Symmetry: I-42d

a b c (Å): 6.892 6.892 5.538
angles (deg): 51.52 51.52 90.00
Fractional positions:
Sc 0.500 0.500 0.000
Sc 0.250 0.750 0.500
Fe 0.000 0.000 0.000
Fe 0.750 0.250 0.500
V 0.686 0.125 0.250
V 0.064 0.625 0.250
V 0.375 0.314 0.750
V 0.875 0.936 0.750

Entry from the Alexandria database: Sc2VFe2 after structural relaxation (PBE).

## Properties
ρ: 5.32 g/cm³
N(E_F): 5.8 states/eV/f.u.
Energy: -38.985 eV/f.u.
Symmetry: P4/mbm

a b c (Å): 6.054 6.054 4.304
angles (deg): 90.00 90.00 90.00
Fractional positions:
Sc 0.180 0.680 0.500
Sc 0.680 0.820 0.500
Sc 0.820 0.320 0.500
Sc 0.320 0.180 0.500
Fe 0.374 0.874 0.000
Fe 0.874 0.626 0.000
Fe 0.626 0.126 0.000
Fe 0.126 0.374 0.000
V 0.000 0.000 0.000
V 0.500 0.500 0.000

Entry from the Alexandria database: ScVFe after structural relaxation (PBE).

## Properties
ρ: 4.93 g/cm³
N(E_F): 4.2 states/eV/f.u.
Energy: -21.928 eV/f.u.
Symmetry: F-43m

a b c (Å): 4.165 4.165 4.165
angles (deg): 60.00 60.00 60.00
Fractional positions:
Sc 0.500 0.500 0.500
Fe 0.000 0.000 0.000
V 0.250 0.250 0.250